A plane-wave DFT calculation with GGA+U was carried out for a relaxed structure of RbMn2SeO.

As for the theoretical density: 3.83 g/cm³. Its total moment is 1.815 μB per atom. The total energy is -25.7 eV per cell.

Cell and atoms, written as POSCAR:
```
RbMn2SeO
1.0
4.3226 0.0000 0.0000
0.0000 4.3226 0.0000
0.0000 0.0000 6.7379
Rb Mn Se O
1 2 1 1
direct
0.0000 0.0000 0.0000
0.0000 0.5000 0.5000
0.5000 0.0000 0.5000
0.5000 0.5000 0.0000
0.5000 0.5000 0.5000
```